# 1
Density functional theory data (PBE) for a geometry-optimized La2Pm3Sc2 structure.

The space group is C2/m (No. 12) and the conventional cell measures 16.765, 3.544 and 8.769 Å, with angles of 90.00, 119.01 and 90.00 degrees. The asymmetric unit holds La at (0.134, 0.000, 0.320), Pm at (0.000, 0.500, 0.500), Pm at (0.203, 0.000, 0.798) and Sc at (0.070, 0.500, 0.930).

The calculated formation energy comes out at 44 meV per atom. Its crystal system is monoclinic. The energy comes out at -72.92 eV for the cell shown. As for the density of states at the Fermi level: 21.447 states/eV/cell. Its magnetization is 0.0 μB/f.u.

# 2
Density functional theory data (PBE) for a geometry-optimized La2ScCdCo structure.

The space group is P4/mmm (No. 123) and the conventional cell measures 5.275, 5.275 and 5.045 Å, with angles of 90.00, 90.00 and 90.00 degrees. The asymmetric unit holds La at (0.000, 0.500, 0.000), Sc at (0.000, 0.000, 0.500), Cd at (0.500, 0.500, 0.500) and Co at (0.000, 0.000, 0.000).

The calculated formation energy comes out at -146 meV per atom. Its crystal system is tetragonal. The energy comes out at -24.94 eV for the cell shown. As for the density of states at the Fermi level: 5.599 states/eV/cell. Its magnetization is 0.0 μB/f.u.

# 3
Density functional theory data (PBE) for a geometry-optimized CdClF2 structure.

The space group is Fm-3m (No. 225) and the conventional cell measures 6.135, 6.135 and 6.135 Å, with angles of 90.00, 90.00 and 90.00 degrees. The asymmetric unit holds Cd at (0.000, 0.000, 0.000), Cl at (0.000, 0.000, 0.500) and F at (0.250, 0.250, 0.250).

The energy above the most stable polymorph in this dataset comes out at 680.5 meV/atom. Its crystal system is cubic. The energy comes out at -40.55 eV for the cell shown. As for the density of states at the Fermi level: 17.992 states/eV/cell. Its magnetization is 1.0 μB/f.u.

# 4
Density functional theory data (PBE) for a geometry-optimized Y3VAs structure.

The space group is Pm-3m (No. 221) and the conventional cell measures 5.394, 5.394 and 5.394 Å, with angles of 90.00, 90.00 and 90.00 degrees. The asymmetric unit holds Y at (0.000, 0.000, 0.500), V at (0.500, 0.500, 0.500) and As at (0.000, 0.000, 0.000).

The energy above the most stable polymorph in this dataset comes out at 0.0 meV/atom. The calculated formation energy comes out at 75 meV per atom. Its crystal system is cubic. The energy comes out at -32.79 eV for the cell shown. As for the density of states at the Fermi level: 9.104 states/eV/cell. Its magnetization is 4.3 μB/f.u.

> Which of these has the highest energy?

La2ScCdCo